# 1
The following is a PBEsol calculation of a geometry-optimized Rb2Na2SiO4 structure, from Alexandria.

Geometry as POSCAR:
```
Rb2Na2SiO4
1.0
9.785 0.000 0.000
0.000 10.877 0.000
0.000 0.000 11.092
O Si Rb Na
32 8 16 16
Cartesian
9.417 1.589 4.566
6.743 2.059 4.255
5.260 9.288 10.112
0.367 7.027 0.980
3.316 4.297 8.911
1.850 2.059 1.291
4.525 1.589 0.980
9.417 3.850 10.112
8.592 1.766 8.592
8.208 4.297 7.727
3.316 1.142 3.365
3.042 7.497 1.291
1.850 3.380 6.837
6.469 6.580 2.181
6.743 3.380 9.801
5.260 7.027 4.566
1.192 9.111 2.501
8.208 1.142 2.181
6.085 7.205 8.592
7.934 7.497 4.255
1.576 9.735 8.911
8.592 3.672 3.045
4.525 3.850 6.526
1.192 7.205 8.047
0.367 9.288 6.526
3.700 1.766 8.047
7.934 8.818 9.801
3.042 8.818 6.837
3.700 3.672 2.501
6.085 9.111 3.045
6.469 9.735 7.727
1.576 6.580 3.365
3.340 3.319 7.559
3.340 2.120 2.013
8.233 3.319 9.079
1.552 7.558 2.013
6.444 7.558 3.533
1.552 8.757 7.559
8.233 2.120 3.533
6.444 8.757 9.079
6.261 3.800 1.522
3.523 9.239 4.024
6.871 4.753 5.157
7.806 6.124 10.703
6.261 1.638 7.068
1.369 3.800 4.024
1.369 1.638 9.570
6.871 0.685 10.703
1.979 0.685 5.935
2.913 6.124 5.935
1.979 4.753 0.389
7.806 10.192 5.157
3.523 7.077 9.570
2.913 10.192 0.389
8.416 9.239 1.522
8.416 7.077 7.068
0.904 4.908 8.359
3.988 5.969 2.813
0.339 8.146 10.062
3.988 10.347 8.359
8.880 5.969 2.733
0.339 8.169 4.516
5.231 8.146 6.576
5.231 8.169 1.030
0.904 0.530 2.813
4.554 2.731 4.516
8.880 10.347 8.279
5.797 0.530 2.733
4.554 2.708 10.062
5.797 4.908 8.279
9.446 2.708 6.576
9.446 2.731 1.030
```

## Properties
The uncorrected formation energy is -2053.4 meV/atom. Its density is 3.5 g/cm3. The symmetry is No. 61. Its crystal system is orthorhombic. As for the total energy: -400.6 eV per cell. Its spin magnetization is 0.014 μB/f.u.

=====

# 2
The following is a PBEsol calculation of a geometry-optimized Li3CuS2 structure, from Alexandria.

Geometry as POSCAR:
```
Li3CuS2
1.0
7.833 0.000 0.000
-2.611 7.385 0.000
-2.611 -3.693 6.396
Li S Cu
12 8 4
Cartesian
-0.696 1.786 4.797
2.001 1.354 5.544
3.307 3.201 4.050
-0.610 0.431 2.451
3.221 1.786 1.599
0.696 2.278 0.747
-2.001 4.185 4.050
-1.915 5.600 1.599
4.526 -0.431 2.451
4.612 -1.786 4.797
1.915 -1.354 5.544
0.610 5.108 0.747
-1.253 -1.772 3.327
2.558 -1.697 3.198
3.758 0.000 0.000
0.159 0.000 0.000
-0.053 -0.075 6.266
1.358 1.697 3.198
-2.664 1.772 3.327
-3.864 0.075 6.266
-1.958 2.769 1.599
3.264 4.616 1.599
5.875 0.000 0.000
0.653 3.693 3.198
```

## Properties
The uncorrected formation energy is -972.9 meV/atom. Its density is 2.7 g/cm3. The symmetry is No. 214. Its crystal system is cubic. As for the total energy: -99.4 eV per cell. Its spin magnetization is 0.000 μB/f.u.

=====

# 3
The following is a PBEsol calculation of a geometry-optimized K2LaOsS structure, from Alexandria.

Geometry as POSCAR:
```
K2LaOsS
1.0
5.173 0.000 0.000
0.000 7.252 0.000
0.000 0.000 7.252
K Os S La
2 1 1 1
Cartesian
0.000 3.626 0.000
0.000 0.000 3.626
2.586 3.626 3.626
2.586 0.000 0.000
0.000 0.000 0.000
```

## Properties
The uncorrected formation energy is 1426.8 meV/atom. Its density is 2.7 g/cm3. The symmetry is No. 123. Its crystal system is tetragonal. As for the total energy: -17.1 eV per cell. Its spin magnetization is 2.831 μB/f.u.

=====

# 4
The following is a PBEsol calculation of a geometry-optimized Zn2Pb structure, from Alexandria.

Geometry as POSCAR:
```
Zn2Pb
1.0
-2.594 -1.699 -0.745
1.754 -1.585 -2.494
1.958 -2.269 5.186
Zn Pb
2 1
Cartesian
0.933 -2.373 2.164
0.185 -3.180 -0.216
0.000 0.000 0.000
```

## Properties
Its density is 9.3 g/cm3. The symmetry is No. 71. Its crystal system is orthorhombic. As for the total energy: -6.6 eV per cell. Its spin magnetization is 0.000 μB/f.u. As for the energy of formation: 183.9 meV per atom.

=====

Please write out number 1 again, unchanged.
The following is a PBEsol calculation of a geometry-optimized Rb2Na2SiO4 structure, from Alexandria.

Geometry as POSCAR:
```
Rb2Na2SiO4
1.0
9.785 0.000 0.000
0.000 10.877 0.000
0.000 0.000 11.092
O Si Rb Na
32 8 16 16
Cartesian
9.417 1.589 4.566
6.743 2.059 4.255
5.260 9.288 10.112
0.367 7.027 0.980
3.316 4.297 8.911
1.850 2.059 1.291
4.525 1.589 0.980
9.417 3.850 10.112
8.592 1.766 8.592
8.208 4.297 7.727
3.316 1.142 3.365
3.042 7.497 1.291
1.850 3.380 6.837
6.469 6.580 2.181
6.743 3.380 9.801
5.260 7.027 4.566
1.192 9.111 2.501
8.208 1.142 2.181
6.085 7.205 8.592
7.934 7.497 4.255
1.576 9.735 8.911
8.592 3.672 3.045
4.525 3.850 6.526
1.192 7.205 8.047
0.367 9.288 6.526
3.700 1.766 8.047
7.934 8.818 9.801
3.042 8.818 6.837
3.700 3.672 2.501
6.085 9.111 3.045
6.469 9.735 7.727
1.576 6.580 3.365
3.340 3.319 7.559
3.340 2.120 2.013
8.233 3.319 9.079
1.552 7.558 2.013
6.444 7.558 3.533
1.552 8.757 7.559
8.233 2.120 3.533
6.444 8.757 9.079
6.261 3.800 1.522
3.523 9.239 4.024
6.871 4.753 5.157
7.806 6.124 10.703
6.261 1.638 7.068
1.369 3.800 4.024
1.369 1.638 9.570
6.871 0.685 10.703
1.979 0.685 5.935
2.913 6.124 5.935
1.979 4.753 0.389
7.806 10.192 5.157
3.523 7.077 9.570
2.913 10.192 0.389
8.416 9.239 1.522
8.416 7.077 7.068
0.904 4.908 8.359
3.988 5.969 2.813
0.339 8.146 10.062
3.988 10.347 8.359
8.880 5.969 2.733
0.339 8.169 4.516
5.231 8.146 6.576
5.231 8.169 1.030
0.904 0.530 2.813
4.554 2.731 4.516
8.880 10.347 8.279
5.797 0.530 2.733
4.554 2.708 10.062
5.797 4.908 8.279
9.446 2.708 6.576
9.446 2.731 1.030
```

## Properties
The uncorrected formation energy is -2053.4 meV/atom. Its density is 3.5 g/cm3. The symmetry is No. 61. Its crystal system is orthorhombic. As for the total energy: -400.6 eV per cell. Its spin magnetization is 0.014 μB/f.u.